Record 1
TaCuIr: PBEsol geometry, meta-GGA SCAN.

abc: 2.8299 3.7403 4.6956
angles: 113.47 107.54 90.00
With the nearest neighbours (Å) after each atom.
Atoms (fractional coordinates):
Ir  0.6644  0.6644  0.3289  5 Cu 2.69-2.75, 5 Ta 2.70-2.72, 2 Ir 2.83
Cu  0.0027  0.0027  0.0055  5 Ta 2.69-2.72, 5 Ir 2.69-2.75, 2 Cu 2.83
Ta  0.3328  0.3328  0.6657  5 Cu 2.69-2.72, 5 Ir 2.70-2.72, 2 Ta 2.83

## Properties
As for the crystal system: orthorhombic. Its space-group type is No. 44. Its formation energy is -0.44 eV per atom. The value obtained for the total moment is 0.0 μB per formula unit. As for the electronic total energy: -154.191 eV/f.u.

=====

Record 2
LiCa5: PBEsol geometry, meta-GGA SCAN.

abc: 4.0151 6.9919 8.8505
angles: 108.06 90.00 106.69
With the nearest neighbours (Å) after each atom.
Atoms (fractional coordinates):
Ca  0.0491  0.0983  0.0352  2 Li 3.33, 4 Ca 3.70-3.73
Ca  0.6945  0.3890  0.3886  10 Ca 3.70-4.02
Ca  0.3394  0.6789  0.7424  2 Li 3.34, 4 Ca 3.70-3.73
Ca  0.3643  0.7287  0.1990  2 Li 3.56, 7 Ca 3.81-3.95
Ca  0.0247  0.0494  0.5788  2 Li 3.57, 8 Ca 3.81-3.99
Li  0.6946  0.3891  0.8894  8 Ca 3.33-3.57

## Properties
As for the crystal system: monoclinic. Its space-group type is No. 8. The polymorph energy (0 for the lowest one) comes out at 0.00 eV/f.u. Its formation energy is 0.01 eV per atom. The value obtained for the total moment is 0.1 μB per formula unit. As for the electronic total energy: -50.625 eV/f.u.

=====

Record 3
Ta2CuCl: PBEsol geometry, meta-GGA SCAN.

abc: 2.8735 2.8735 8.4367
angles: 90.00 90.00 103.60
With the nearest neighbours (Å) after each atom.
Atoms (fractional coordinates):
Cl  0.0000  0.0000  0.5224  2 Ta 2.59, 4 Cl 2.87
Cu  0.5000  0.5000  0.2273  2 Ta 2.58, 4 Cu 2.87
Ta  0.0000  0.0000  0.0048  2 Cu 2.58, 6 Ta 2.82-2.87
Ta  0.5000  0.5000  0.7455  2 Cl 2.59, 6 Ta 2.82-2.87

## Properties
As for the crystal system: orthorhombic. Its space-group type is No. 35. Its energy relative to the elements, uncorrected is 0.022 eV/atom. The value obtained for the total moment is 0.0 μB per formula unit. As for the electronic total energy: -156.254 eV/f.u.

=====

Record 4
AlAg3: PBEsol geometry, meta-GGA SCAN.

abc: 6.8751 6.8751 6.8751
angles: 90.23 90.23 90.23
With the nearest neighbours (Å) after each atom.
Atoms (fractional coordinates):
Al  0.6908  0.6908  0.6908  6 Ag 2.56-2.74
Al  0.3179  0.8022  0.1937  5 Ag 2.55-2.75, 1 Al 2.68
Al  0.8022  0.1937  0.3179  5 Ag 2.55-2.75, 1 Al 2.68
Al  0.1937  0.3179  0.8022  5 Ag 2.55-2.75, 1 Al 2.68
Al  0.0585  0.0585  0.0585  3 Al 2.68, 9 Ag 2.73-2.89
Ag  0.1999  0.1275  0.4490  4 Al 2.75-2.96, 8 Ag 2.84-2.93
Ag  0.1275  0.4490  0.1999  4 Al 2.75-2.96, 8 Ag 2.84-2.93
Ag  0.4490  0.1999  0.1275  4 Al 2.75-2.96, 8 Ag 2.84-2.93
Ag  0.8013  0.3605  0.9600  4 Al 2.72-3.03, 8 Ag 2.84-2.92
Ag  0.8830  0.0407  0.7012  4 Al 2.73-2.94, 8 Ag 2.85-2.96
Ag  0.5455  0.2978  0.6296  3 Al 2.70-2.91, 9 Ag 2.81-2.96
Ag  0.2978  0.6296  0.5455  3 Al 2.70-2.91, 9 Ag 2.81-2.96
Ag  0.3605  0.9600  0.8013  4 Al 2.72-3.03, 8 Ag 2.84-2.92
Ag  0.0407  0.7012  0.8830  4 Al 2.73-2.94, 8 Ag 2.85-2.96
Ag  0.7012  0.8830  0.0407  4 Al 2.73-2.94, 8 Ag 2.85-2.96
Ag  0.6296  0.5455  0.2978  3 Al 2.70-2.91, 9 Ag 2.81-2.96
Ag  0.9600  0.8013  0.3605  4 Al 2.72-3.03, 8 Ag 2.84-2.92
Ag  0.9353  0.4404  0.5652  3 Al 2.55-2.56, 2 Ag 2.81-2.84
Ag  0.4404  0.5652  0.9353  3 Al 2.55-2.56, 2 Ag 2.81-2.84
Ag  0.5652  0.9353  0.4404  3 Al 2.55-2.56, 2 Ag 2.81-2.84

## Properties
As for the crystal system: trigonal. Its space-group type is No. 146. Its formation energy is -0.12 eV per atom. The value obtained for the total moment is 0.0 μB per formula unit. As for the electronic total energy: -102.330 eV/f.u.